(1)
Here is a geometry-optimized FeBP2Au structure from the Alexandria database. Energies are from PBE-GGA.

Results
Density   7.6 g cm⁻³
SG   R3m (160)
Offset from the most stable computed form   0.000 eV/f.u.
Energy of formation from the pure elements   -0.113 eV/atom
Uncorrected energy   -5.961 eV per atom

Geometry as POSCAR:
```
FeBP2Au
1.0
3.1039 0.0000 0.0000
-1.5519 2.6880 0.0000
0.0000 0.0000 25.4328
Fe B P Au
3 3 6 3
direct
0.0000 0.0000 0.0000
0.3333 0.6667 0.6667
0.6667 0.3333 0.3333
0.0000 0.0000 0.2682
0.3333 0.6667 0.9349
0.6667 0.3333 0.6016
0.0000 0.0000 0.7179
0.0000 0.0000 0.9077
0.3333 0.6667 0.3845
0.3333 0.6667 0.5743
0.6667 0.3333 0.0512
0.6667 0.3333 0.2410
0.0000 0.0000 0.8113
0.3333 0.6667 0.4780
0.6667 0.3333 0.1446
```


(2)
Here is a geometry-optimized FeBP2Au structure from the Alexandria database. Energies are from PBE-GGA.

Results
Density   7.7 g cm⁻³
SG   R3m (160)
Offset from the most stable computed form   0.065 eV/f.u.
Energy of formation from the pure elements   -0.100 eV/atom
Uncorrected energy   -5.948 eV per atom

Geometry as POSCAR:
```
FeBP2Au
1.0
3.1692 0.0000 0.0000
-1.5846 2.7446 0.0000
0.0000 0.0000 24.3395
Fe B P Au
3 3 6 3
direct
0.0000 0.0000 0.0000
0.3333 0.6667 0.6667
0.6667 0.3333 0.3333
0.0000 0.0000 0.9083
0.3333 0.6667 0.5749
0.6667 0.3333 0.2416
0.0000 0.0000 0.2592
0.0000 0.0000 0.7183
0.3333 0.6667 0.3850
0.3333 0.6667 0.9259
0.6667 0.3333 0.0516
0.6667 0.3333 0.5926
0.0000 0.0000 0.8150
0.3333 0.6667 0.4816
0.6667 0.3333 0.1483
```